No. 1
# YVS3 GGA-PBE optimized geometry
data_YVS3
_chemical_formula_sum 'Y1 V1 S3'
_symmetry_space_group_name_H-M 'P m -3 m'
_symmetry_Int_Tables_number 221
_symmetry_space_group_name_Hall '-P 4 2 3'
_cell_length_a 4.5863
_cell_length_b 4.5863
_cell_length_c 4.5863
_cell_angle_alpha 90.00
_cell_angle_beta 90.00
_cell_angle_gamma 90.00
loop_
_atom_site_label
_atom_site_type_symbol
_atom_site_fract_x
_atom_site_fract_y
_atom_site_fract_z
Y1 Y 0.0000 0.0000 0.0000
V1 V 0.5000 0.5000 0.5000
S1 S 0.0000 0.5000 0.5000
# Calculated density: 4063 kg/m³
# Energy relative to the elements, uncorrected: -0.979 eV/atom
# Total energy: -32.9 eV/cell

***

No. 2
# Tb2YSe2 GGA-PBE optimized geometry
data_Tb2YSe2
_chemical_formula_sum 'Tb4 Y2 Se4'
_symmetry_space_group_name_H-M 'I m m m'
_symmetry_Int_Tables_number 71
_symmetry_space_group_name_Hall '-I 2 2'
_cell_length_a 3.9890
_cell_length_b 5.7032
_cell_length_c 11.9630
_cell_angle_alpha 90.00
_cell_angle_beta 90.00
_cell_angle_gamma 90.00
loop_
_atom_site_label
_atom_site_type_symbol
_atom_site_fract_x
_atom_site_fract_y
_atom_site_fract_z
Tb1 Tb 0.0000 0.0000 0.1604
Y1 Y 0.0000 0.0000 0.5000
Se1 Se 0.0000 0.5000 0.1698
# Calculated density: 6891 kg/m³
# Energy relative to the elements, uncorrected: -1.343 eV/atom
# Total energy: -58.8 eV/cell